# 1
# Sr3Pr2ErTe6 | Alexandria | PBE | relaxed
data_Sr3Pr2ErTe6
_chemical_formula_sum 'Sr6 Pr4 Er2 Te12'
_symmetry_space_group_name_H-M 'C 1 2/m 1'
_symmetry_Int_Tables_number 12
_symmetry_space_group_name_Hall '-C 2y'
_cell_length_a 7.8888
_cell_length_b 13.6393
_cell_length_c 8.0534
_cell_angle_alpha 90.00
_cell_angle_beta 109.08
_cell_angle_gamma 90.00
loop_
_atom_site_label
_atom_site_fract_x
_atom_site_fract_y
_atom_site_fract_z
Sr1 0.0000 0.0000 0.0000
Sr2 0.0000 0.3291 0.0000
Pr1 0.0000 0.1652 0.5000
Er1 0.0000 0.5000 0.5000
Te1 0.2397 0.3387 0.7367
Te2 0.2414 0.5000 0.2599
# DFT total energy	-4.70	eV per atom
# total magnetic moment	0.00	μB/f.u.



# 2
# MnCdIr2 | Alexandria | PBE | relaxed
data_MnCdIr2
_chemical_formula_sum 'Mn2 Cd2 Ir4'
_symmetry_space_group_name_H-M 'I -4 m 2'
_symmetry_Int_Tables_number 119
_symmetry_space_group_name_Hall 'I -4 -2'
_cell_length_a 3.9241
_cell_length_b 3.9241
_cell_length_c 8.0196
_cell_angle_alpha 90.00
_cell_angle_beta 90.00
_cell_angle_gamma 90.00
loop_
_atom_site_label
_atom_site_fract_x
_atom_site_fract_y
_atom_site_fract_z
Mn1 0.0000 0.0000 0.0000
Cd1 0.0000 0.5000 0.7500
Ir1 0.0000 0.0000 0.5000
Ir2 0.0000 0.5000 0.2500
# DFT total energy	-6.80	eV per atom
# calculated formation energy	0.1558	eV per atom
# total magnetic moment	2.80	μB/f.u.



# 3
# CeSmRuPt | Alexandria | PBE | relaxed
data_CeSmRuPt
_chemical_formula_sum 'Ce4 Sm4 Ru4 Pt4'
_symmetry_space_group_name_H-M 'F -4 3 m'
_symmetry_Int_Tables_number 216
_symmetry_space_group_name_Hall 'F -4 2 3'
_cell_length_a 7.0315
_cell_length_b 7.0315
_cell_length_c 7.0315
_cell_angle_alpha 90.00
_cell_angle_beta 90.00
_cell_angle_gamma 90.00
loop_
_atom_site_label
_atom_site_fract_x
_atom_site_fract_y
_atom_site_fract_z
Ce1 0.0000 0.0000 0.0000
Sm1 0.0000 0.0000 0.5000
Ru1 0.2500 0.2500 0.2500
Pt1 0.2500 0.2500 0.7500
# energy above the lowest structure with this stoichiometry	0.115	eV/atom
# DFT total energy	-7.12	eV per atom
# calculated formation energy	-0.6248	eV per atom
# total magnetic moment	0.38	μB/f.u.



# 4
# Sc2HgSb2 | Alexandria | PBE | relaxed
data_Sc2HgSb2
_chemical_formula_sum 'Sc4 Hg2 Sb4'
_symmetry_space_group_name_H-M 'P 4/m b m'
_symmetry_Int_Tables_number 127
_symmetry_space_group_name_Hall '-P 4 2ab'
_cell_length_a 8.0826
_cell_length_b 8.0826
_cell_length_c 3.7635
_cell_angle_alpha 90.00
_cell_angle_beta 90.00
_cell_angle_gamma 90.00
loop_
_atom_site_label
_atom_site_fract_x
_atom_site_fract_y
_atom_site_fract_z
Sc1 0.1499 0.3501 0.0000
Hg1 0.0000 0.0000 0.5000
Sb1 0.1507 0.6507 0.5000
# energy above the lowest structure with this stoichiometry	0.108	eV/atom
# DFT total energy	-4.75	eV per atom
# total magnetic moment	0.00	μB/f.u.